This record from the Alexandria database describes a relaxed LiInPd3 crystal. The functional is PBE.

## Properties
For the volume, the calculation gives 312.17 Å³/cell. The calculation puts the polymorph energy (0 for the lowest one) at 0.0 meV/atom. The crystal system is orthorhombic. The energy of formation from the pure elements comes out at -2.6 eV/f.u. The raw total energy comes out at -4.56 eV/atom.

Cell: 5.553 4.205 13.368 Å, 90.00 90.00 90.00°
Space group Pnma (No. 62)
One atom of each set of equivalent atoms:
Li 0.164 0.250 0.050 [4 per cell]
In 0.023 0.250 0.652 [4 per cell]
Pd 0.024 0.250 0.862 [4 per cell]
Pd 0.178 0.250 0.457 [4 per cell]
Pd 0.236 0.250 0.247 [4 per cell]